1.
The following is a PBE calculation of a geometry-optimized TiSnHgI6 structure, from Alexandria via LeMat-Bulk.

Cell: 7.5812 7.5812 9.2398 Å, 90.00 90.00 120.00°
Fractional coordinates of all 9 atoms:
Ti1 0.0000 0.0000 0.0000
Sn1 0.6667 0.3333 0.0000
Hg1 0.3333 0.6667 0.5000
I1 0.2984 0.0039 0.1766
I2 0.2984 0.2945 0.8234
I3 0.7055 0.0039 0.8234
I4 0.7055 0.7016 0.1766
I5 0.9961 0.2945 0.1766
I6 0.9961 0.7016 0.8234

Output
SG   P312
ΔE_f (raw)   -551 meV per atom
Calculated density   4075 kg/m3


2.
The following is a PBE calculation of a geometry-optimized Y2TlGe structure, from Alexandria via LeMat-Bulk.

Cell: 3.4815 3.4815 8.2979 Å, 90.00 90.00 90.00°
Fractional coordinates of all 4 atoms:
Y1 0.0000 0.0000 0.2286
Y2 0.0000 0.0000 0.7714
Tl1 0.5000 0.5000 0.5000
Ge1 0.5000 0.5000 0.0000

Output
SG   P4/mmm
Calculated density   7510 kg/m3
Total DFT energy (no corrections)   -5.4773 eV per atom


3.
The following is a PBE calculation of a geometry-optimized PrPuIr structure, from Alexandria via LeMat-Bulk.

Cell: 5.1000 5.1072 11.5812 Å, 90.00 90.00 90.00°
Fractional coordinates of all 12 atoms:
Pr1 0.0000 0.0000 0.1459
Pr2 0.0000 0.0000 0.8541
Pr3 0.5000 0.5000 0.1459
Pr4 0.5000 0.5000 0.8541
Pu1 0.0000 0.5000 0.3690
Pu2 0.0000 0.5000 0.6310
Pu3 0.5000 0.0000 0.3690
Pu4 0.5000 0.0000 0.6310
Ir1 0.0000 0.0000 0.5000
Ir2 0.0000 0.5000 0.0000
Ir3 0.5000 0.0000 0.0000
Ir4 0.5000 0.5000 0.5000

Output
SG   Cmmm
Calculated density   12708 kg/m3
ΔE to the lowest computed polymorph   179.1 meV per atom


4.
The following is a PBE calculation of a geometry-optimized SiRhW2 structure, from Alexandria via LeMat-Bulk.

Cell: 2.8014 2.8014 26.3559 Å, 90.00 90.00 120.00°
Fractional coordinates of all 12 atoms:
Si1 0.0000 0.0000 0.0000
Si2 0.3333 0.6667 0.6667
Si3 0.6667 0.3333 0.3333
Rh1 0.0000 0.0000 0.7389
Rh2 0.3333 0.6667 0.4056
Rh3 0.6667 0.3333 0.0722
W1 0.0000 0.0000 0.2507
W2 0.0000 0.0000 0.4917
W3 0.3333 0.6667 0.1584
W4 0.3333 0.6667 0.9174
W5 0.6667 0.3333 0.5841
W6 0.6667 0.3333 0.8250

Output
SG   R3m
ΔE_f (raw)   3 meV per atom
Calculated density   13868 kg/m3


5.
The following is a PBE calculation of a geometry-optimized BaTaSi structure, from Alexandria via LeMat-Bulk.

Cell: 4.1610 4.1610 10.4988 Å, 90.00 90.00 90.00°
Fractional coordinates of all 6 atoms:
Ba1 0.2500 0.2500 0.1916
Ba2 0.7500 0.7500 0.8084
Ta1 0.2500 0.7500 0.5000
Ta2 0.7500 0.2500 0.5000
Si1 0.2500 0.2500 0.6554
Si2 0.7500 0.7500 0.3446

Output
SG   P4/nmm
ΔE_f (raw)   -259 meV per atom
Calculated density   6328 kg/m3
ΔE to the lowest computed polymorph   0.0 meV per atom


6.
The following is a PBE calculation of a geometry-optimized LiNF2 structure, from Alexandria via LeMat-Bulk.

Cell: 2.7677 2.7677 17.1914 Å, 90.00 90.00 120.00°
Fractional coordinates of all 12 atoms:
Li1 0.0000 0.0000 0.0000
Li2 0.3333 0.6667 0.6667
Li3 0.6667 0.3333 0.3333
N1 0.0000 0.0000 0.5000
N2 0.3333 0.6667 0.1667
N3 0.6667 0.3333 0.8333
F1 0.0000 0.0000 0.3987
F2 0.0000 0.0000 0.6013
F3 0.3333 0.6667 0.0653
F4 0.3333 0.6667 0.2680
F5 0.6667 0.3333 0.7320
F6 0.6667 0.3333 0.9347

Output
SG   R-3m
ΔE_f (raw)   -490 meV per atom
Calculated density   2575 kg/m3
ΔE to the lowest computed polymorph   353.4 meV per atom


7.
The following is a PBE calculation of a geometry-optimized TlCrCo2 structure, from Alexandria via LeMat-Bulk.

Cell: 2.9126 3.3896 5.8649 Å, 90.00 90.00 90.00°
Fractional coordinates of all 4 atoms:
Tl1 0.0000 0.0000 0.0000
Cr1 0.5000 0.5000 0.6840
Co1 0.0000 0.0000 0.4852
Co2 0.5000 0.5000 0.2892

Output
SG   Pmm2
Calculated density   10733 kg/m3
ΔE to the lowest computed polymorph   124.8 meV per atom


8.
The following is a PBE calculation of a geometry-optimized SrLiBi structure, from Alexandria via LeMat-Bulk.

Cell: 4.8597 4.8597 7.6081 Å, 90.00 90.00 90.00°
Fractional coordinates of all 6 atoms:
Sr1 0.2500 0.2500 0.1804
Sr2 0.7500 0.7500 0.8196
Li1 0.2500 0.7500 0.5000
Li2 0.7500 0.2500 0.5000
Bi1 0.2500 0.2500 0.7238
Bi2 0.7500 0.7500 0.2762

Output
SG   P4/nmm
Calculated density   5611 kg/m3
Total DFT energy (no corrections)   -3.3120 eV per atom